Entry 1:
# BaInAgHg3 PBE optimized geometry
data_BaInAgHg3
_cell_length_a 7.233
_cell_length_b 13.827
_cell_length_c 7.162
_cell_angle_alpha 90.00
_cell_angle_beta 90.00
_cell_angle_gamma 90.00
_symmetry_space_group_name_H-M 'C m c m'
_symmetry_Int_Tables_number 63
_symmetry_space_group_name_Hall '-C 2c 2'
loop_
_atom_site_label
_atom_site_type_symbol
_atom_site_fract_x
_atom_site_fract_y
_atom_site_fract_z
_atom_site_occupancy
Ba1 Ba 0.000 0.210 0.250 1
In1 In 0.000 0.132 0.750 1
Ag1 Ag 0.000 0.446 0.250 1
Hg1 Hg 0.000 0.346 0.750 1
Hg2 Hg 0.217 0.000 0.000 1
# crystal system: orthorhombic
# theoretical density: 8.92 g cm⁻³
# energy of formation: -0.14 eV per atom



Entry 2:
# GaPb2W PBE optimized geometry
data_GaPb2W
_cell_length_a 6.419
_cell_length_b 6.419
_cell_length_c 12.962
_cell_angle_alpha 90.00
_cell_angle_beta 90.00
_cell_angle_gamma 90.00
_symmetry_space_group_name_H-M 'I -4 2 d'
_symmetry_Int_Tables_number 122
_symmetry_space_group_name_Hall 'I -4 2bw'
loop_
_atom_site_label
_atom_site_type_symbol
_atom_site_fract_x
_atom_site_fract_y
_atom_site_fract_z
_atom_site_occupancy
Ga1 Ga 0.000 0.000 0.000 1
Pb1 Pb 0.230 0.250 0.625 1
W1 W 0.000 0.000 0.500 1
# crystal system: tetragonal
# theoretical density: 8.31 g cm⁻³
# energy of formation: 1.34 eV per atom



Entry 3:
# Ac2AgPt3 PBE optimized geometry
data_Ac2AgPt3
_cell_length_a 4.157
_cell_length_b 4.259
_cell_length_c 17.458
_cell_angle_alpha 90.00
_cell_angle_beta 90.00
_cell_angle_gamma 90.00
_symmetry_space_group_name_H-M 'I m m 2'
_symmetry_Int_Tables_number 44
loop_
_symmetry_equiv_pos_as_xyz
'x,y,z'
'-x,-y,z'
'-x,y,z'
'x,-y,z'
'x+1/2,y+1/2,z+1/2'
'-x+1/2,-y+1/2,z+1/2'
'-x+1/2,y+1/2,z+1/2'
'x+1/2,-y+1/2,z+1/2'
loop_
_atom_site_label
_atom_site_type_symbol
_atom_site_fract_x
_atom_site_fract_y
_atom_site_fract_z
_atom_site_occupancy
Ac1 Ac 0.000 0.000 0.000 1
Ac2 Ac 0.000 0.500 0.232 1
Ag1 Ag 0.000 0.000 0.404 1
Pt1 Pt 0.000 0.000 0.560 1
Pt2 Pt 0.000 0.500 0.652 1
Pt3 Pt 0.000 0.500 0.803 1
# crystal system: orthorhombic
# theoretical density: 12.32 g cm⁻³
# energy of formation: -0.86 eV per atom



Entry 4:
# Sc2PaSe PBE optimized geometry
data_Sc2PaSe
_cell_length_a 3.3590
_cell_length_b 3.3590
_cell_length_c 29.0156
_cell_angle_alpha 90.00
_cell_angle_beta 90.00
_cell_angle_gamma 120.00
_symmetry_space_group_name_H-M 'R -3 m'
_symmetry_Int_Tables_number 166
_symmetry_space_group_name_Hall '-R 3 2"'
loop_
_atom_site_label
_atom_site_type_symbol
_atom_site_fract_x
_atom_site_fract_y
_atom_site_fract_z
_atom_site_occupancy
Sc1 Sc 0.0000 0.0000 0.1045 1
Pa1 Pa 0.0000 0.0000 0.0000 1
Se1 Se 0.0000 0.0000 0.5000 1
# energy relative to the elements, uncorrected: -0.345 eV/atom
# crystal system: trigonal
# theoretical density: 7.03 g cm⁻³



Entry 5:
# La5Cd2 PBE optimized geometry
data_La5Cd2
_cell_length_a 16.077
_cell_length_b 6.131
_cell_length_c 9.271
_cell_angle_alpha 90.00
_cell_angle_beta 96.20
_cell_angle_gamma 90.00
_symmetry_space_group_name_H-M 'C 1 2/c 1'
_symmetry_Int_Tables_number 15
loop_
_symmetry_equiv_pos_as_xyz
'x,y,z'
'-x,-y,-z'
'-x,y,-z+1/2'
'x,-y,z+1/2'
'x+1/2,y+1/2,z'
'-x+1/2,-y+1/2,-z'
'-x+1/2,y+1/2,-z+1/2'
'x+1/2,-y+1/2,z+1/2'
loop_
_atom_site_label
_atom_site_type_symbol
_atom_site_fract_x
_atom_site_fract_y
_atom_site_fract_z
_atom_site_occupancy
La1 La 0.000 0.201 0.250 1
La2 La 0.131 0.204 0.960 1
La3 La 0.228 0.344 0.326 1
Cd1 Cd 0.073 0.321 0.604 1
# crystal system: monoclinic
# theoretical density: 6.72 g cm⁻³
# energy of formation: -0.16 eV per atom



Entry 6:
# Pm2Ga3CoCu12 PBE optimized geometry
data_Pm2Ga3CoCu12
_cell_length_a 6.1712
_cell_length_b 6.1712
_cell_length_c 26.8397
_cell_angle_alpha 90.00
_cell_angle_beta 90.00
_cell_angle_gamma 120.00
_symmetry_space_group_name_H-M 'R -3 m'
_symmetry_Int_Tables_number 166
_symmetry_space_group_name_Hall '-R 3 2"'
loop_
_atom_site_label
_atom_site_type_symbol
_atom_site_fract_x
_atom_site_fract_y
_atom_site_fract_z
_atom_site_occupancy
Pm1 Pm 0.0000 0.0000 0.1521 1
Ga1 Ga 0.0000 0.5000 0.0000 1
Co1 Co 0.0000 0.0000 0.5000 1
Cu1 Cu 0.0549 0.5275 0.0974 1
Cu2 Cu 0.0731 0.5366 0.6162 1
# crystal system: trigonal
# theoretical density: 7.43 g cm⁻³
# energy of formation: 0.12 eV per atom



Entry 7:
# Ca5Mo PBE optimized geometry
data_Ca5Mo
_cell_length_a 5.829
_cell_length_b 3.791
_cell_length_c 18.780
_cell_angle_alpha 90.00
_cell_angle_beta 90.00
_cell_angle_gamma 90.00
_symmetry_space_group_name_H-M 'A m m 2'
_symmetry_Int_Tables_number 38
loop_
_symmetry_equiv_pos_as_xyz
'x,y,z'
'-x,-y,z'
'-x,y,z'
'x,-y,z'
'x,y+1/2,z+1/2'
'-x,-y+1/2,z+1/2'
'-x,y+1/2,z+1/2'
'x,-y+1/2,z+1/2'
loop_
_atom_site_label
_atom_site_type_symbol
_atom_site_fract_x
_atom_site_fract_y
_atom_site_fract_z
_atom_site_occupancy
Ca1 Ca 0.000 0.000 0.000 1
Ca2 Ca 0.000 0.000 0.279 1
Ca3 Ca 0.500 0.000 0.099 1
Ca4 Ca 0.500 0.000 0.422 1
Ca5 Ca 0.500 0.000 0.749 1
Mo1 Mo 0.000 0.000 0.642 1
# crystal system: orthorhombic
# relative energy among the computed polymorphs: 92.8 meV per atom
# theoretical density: 2.37 g cm⁻³
# energy of formation: 0.50 eV per atom



Entry 8:
# SrAg3Ir PBE optimized geometry
data_SrAg3Ir
_cell_length_a 5.125
_cell_length_b 5.125
_cell_length_c 5.125
_cell_angle_alpha 90.00
_cell_angle_beta 90.00
_cell_angle_gamma 90.00
_symmetry_space_group_name_H-M 'P m -3 m'
_symmetry_Int_Tables_number 221
_symmetry_space_group_name_Hall '-P 4 2 3'
loop_
_atom_site_label
_atom_site_type_symbol
_atom_site_fract_x
_atom_site_fract_y
_atom_site_fract_z
_atom_site_occupancy
Sr1 Sr 0.000 0.000 0.000 1
Ag1 Ag 0.000 0.500 0.500 1
Ir1 Ir 0.500 0.500 0.500 1
# crystal system: cubic
# relative energy among the computed polymorphs: 0.0 meV per atom
# theoretical density: 7.44 g cm⁻³
# energy of formation: 0.39 eV per atom